Computed, not measured: a geometry-optimized CdH2Pb2 structure at the PBE-GGA level of DFT.

POSCAR file:
```
CdH2Pb2
1.0
3.787 0.000 0.000
-1.893 3.280 0.000
0.000 0.000 8.173
Cd H Pb
1 2 2
Direct
0.000 0.000 0.000
0.333 0.667 0.588
0.667 0.333 0.412
0.333 0.667 0.302
0.667 0.333 0.698
```

Energy ... -2.65 eV per atom
D(E_F) ... 1.193 states/eV/f.u.
Space-group type ... P-3m1 (164)